(1)
Entry from Alexandria: an optimized crystal structure of BaInSb2 (GGA-PBE).

For the density of states at the Fermi level, the calculation gives 2.977 states/eV per cell. For the uncorrected formation energy, the calculation gives -0.40 eV/atom. As for the space group: No. 44.

The structure in POSCAR format:
```
BaInSb2
1.0
-2.073 2.864 5.579
2.073 -2.864 5.579
2.073 2.864 -5.579
Ba In Sb
1 1 2
Direct
0.000 0.000 0.000
0.725 0.225 0.500
0.284 0.784 0.500
0.484 0.484 0.000
```

***

(2)
Entry from Alexandria: an optimized crystal structure of LaCePt2 (GGA-PBE).

For the density of states at the Fermi level, the calculation gives 7.429 states/eV per cell. For the energy above the most stable polymorph in this dataset, the calculation gives 5 kJ/mol of formula units. As for the energy of formation from the pure elements: -4.53 eV/f.u. As for the space group: No. 38.

The structure in POSCAR format:
```
LaCePt2
1.0
4.494 0.000 0.000
0.000 1.950 5.611
0.000 -1.950 5.611
La Ce Pt
1 1 2
Direct
0.000 0.000 0.000
0.500 0.729 0.729
0.000 0.267 0.267
0.500 0.454 0.454
```

***

(3)
Entry from Alexandria: an optimized crystal structure of GaCo4Ni15 (GGA-PBE).

For the density of states at the Fermi level, the calculation gives 28.581 states/eV per cell. As for the energy of formation from the pure elements: -0.87 eV/f.u. As for the space group: No. 123.

The structure in POSCAR format:
```
GaCo4Ni15
1.0
3.533 0.000 0.000
0.000 3.533 0.000
0.000 0.000 17.657
Ga Co Ni
1 4 15
Direct
0.000 0.000 0.000
0.000 0.000 0.202
0.000 0.000 0.401
0.000 0.000 0.599
0.000 0.000 0.798
0.000 0.500 0.104
0.000 0.500 0.302
0.000 0.500 0.500
0.000 0.500 0.698
0.000 0.500 0.896
0.500 0.000 0.104
0.500 0.000 0.302
0.500 0.000 0.500
0.500 0.000 0.698
0.500 0.000 0.896
0.500 0.500 0.000
0.500 0.500 0.203
0.500 0.500 0.401
0.500 0.500 0.599
0.500 0.500 0.797
```

***

(4)
Entry from Alexandria: an optimized crystal structure of Be4TlSe (GGA-PBE).

For the density of states at the Fermi level, the calculation gives 1.495 states/eV per cell. For the uncorrected formation energy, the calculation gives 0.64 eV/atom. As for the space group: No. 216.

The structure in POSCAR format:
```
Be4TlSe
1.0
0.000 3.461 3.461
3.461 0.000 3.461
3.461 3.461 0.000
Be Tl Se
4 1 1
Direct
0.123 0.123 0.123
0.123 0.123 0.631
0.123 0.631 0.123
0.631 0.123 0.123
0.750 0.750 0.750
0.500 0.500 0.500
```

***

(5)
Entry from Alexandria: an optimized crystal structure of SrTi2Sn2 (GGA-PBE).

For the density of states at the Fermi level, the calculation gives 3.007 states/eV per cell. For the energy above the most stable polymorph in this dataset, the calculation gives 141 kJ/mol of formula units. As for the energy of formation from the pure elements: -0.05 eV/f.u. As for the space group: No. 139.

The structure in POSCAR format:
```
SrTi2Sn2
1.0
-2.621 2.621 4.872
2.621 -2.621 4.872
2.621 2.621 -4.872
Sr Ti Sn
1 2 2
Direct
0.000 0.000 0.000
0.359 0.359 0.000
0.641 0.641 0.000
0.250 0.750 0.500
0.750 0.250 0.500
```

***

(6)
Entry from Alexandria: an optimized crystal structure of InHgF2 (GGA-PBE).

For the density of states at the Fermi level, the calculation gives 0.988 states/eV per cell. For the energy above the most stable polymorph in this dataset, the calculation gives 0 kJ/mol of formula units. For the uncorrected formation energy, the calculation gives -1.64 eV/atom. As for the space group: No. 2.

The structure in POSCAR format:
```
InHgF2
1.0
3.465 0.000 0.000
-1.727 5.687 0.000
-0.276 -0.097 9.317
In Hg F
2 2 4
Direct
0.109 0.227 0.441
0.891 0.773 0.559
0.245 0.250 0.948
0.755 0.750 0.052
0.298 0.610 0.415
0.399 0.767 0.702
0.601 0.233 0.298
0.702 0.390 0.585
```

***

(7)
Entry from Alexandria: an optimized crystal structure of KLiCo2Cl6 (GGA-PBE).

For the uncorrected formation energy, the calculation gives -1.08 eV/atom. As for the space group: No. 15.

The structure in POSCAR format:
```
KLiCo2Cl6
1.0
6.934 -6.632 0.000
6.934 6.632 0.000
-3.325 0.000 6.344
K Li Co Cl
2 2 4 12
Direct
0.120 0.880 0.750
0.880 0.120 0.250
0.214 0.786 0.250
0.786 0.214 0.750
0.233 0.381 0.910
0.381 0.233 0.410
0.619 0.767 0.590
0.767 0.619 0.090
0.039 0.207 0.729
0.169 0.609 0.908
0.207 0.039 0.229
0.310 0.411 0.261
0.391 0.831 0.592
0.411 0.310 0.761
0.589 0.690 0.239
0.609 0.169 0.408
0.690 0.589 0.739
0.793 0.961 0.771
0.831 0.391 0.092
0.961 0.793 0.271
```

***

(8)
Entry from Alexandria: an optimized crystal structure of Al2O3 (GGA-PBE).

For the density of states at the Fermi level, the calculation gives 0.000 states/eV per cell. For the uncorrected formation energy, the calculation gives -2.93 eV/atom. As for the space group: No. 1.

The structure in POSCAR format:
```
Al2O3
1.0
5.603 0.000 0.000
2.797 4.877 0.000
1.421 1.220 9.163
Al O
10 15
Direct
0.000 0.000 0.000
0.006 0.480 0.004
0.078 0.658 0.302
0.188 0.737 0.736
0.405 0.433 0.510
0.424 0.952 0.489
0.495 0.922 0.192
0.511 0.484 0.002
0.527 0.040 0.809
0.900 0.390 0.674
0.082 0.576 0.623
0.097 0.061 0.616
0.151 0.639 0.106
0.165 0.126 0.103
0.288 0.307 0.381
0.299 0.766 0.365
0.341 0.386 0.870
0.345 0.840 0.870
0.553 0.585 0.610
0.559 0.087 0.614
0.656 0.131 0.094
0.665 0.620 0.099
0.723 0.814 0.348
0.859 0.351 0.875
0.877 0.847 0.868
```

***

Number 1: VASP energy -3.623 eV per atom. Number 2: VASP energy -6.867 eV per atom. Number 3: VASP energy -5.952 eV per atom. Number 4: VASP energy -2.818 eV per atom. Number 5: VASP energy -5.106 eV per atom. Number 6: VASP energy -3.332 eV per atom. Number 7: VASP energy -3.910 eV per atom. Number 8: VASP energy -7.403 eV per atom.